(1)
## BaBi2Ru (GGA-PBE)

Data for crystalline BaBi2Ru at its relaxed geometry.

Cell lengths 7.5840, 7.5840, 7.5840 Å; angles 90.00, 90.00, 90.00 degrees
Atoms (fractional coordinates):
1 Ba 0.0000 0.0000 0.0000
2 Ba 0.0000 0.5000 0.5000
3 Ba 0.5000 0.0000 0.5000
4 Ba 0.5000 0.5000 0.0000
5 Bi 0.2500 0.2500 0.2500
6 Bi 0.2500 0.2500 0.7500
7 Bi 0.2500 0.7500 0.2500
8 Bi 0.2500 0.7500 0.7500
9 Bi 0.7500 0.2500 0.2500
10 Bi 0.7500 0.2500 0.7500
11 Bi 0.7500 0.7500 0.2500
12 Bi 0.7500 0.7500 0.7500
13 Ru 0.0000 0.0000 0.5000
14 Ru 0.0000 0.5000 0.0000
15 Ru 0.5000 0.0000 0.0000
16 Ru 0.5000 0.5000 0.5000

Output
Its crystal system is cubic. The density of states at the Fermi level comes out at 7.67 states/eV/cell. As for the formation enthalpy at 0 K: 197 meV/atom. Its total moment is 0.00 μB per atom.


(2)
## BaBi2Ru2 (GGA-PBE)

Data for crystalline BaBi2Ru2 at its relaxed geometry.

Cell lengths 4.6141, 4.6141, 12.5141 Å; angles 90.00, 90.00, 90.00 degrees
Atoms (fractional coordinates):
1 Ba 0.0000 0.0000 0.0000
2 Ba 0.5000 0.5000 0.5000
3 Bi 0.0000 0.0000 0.3597
4 Bi 0.0000 0.0000 0.6403
5 Bi 0.5000 0.5000 0.1403
6 Bi 0.5000 0.5000 0.8597
7 Ru 0.0000 0.5000 0.2500
8 Ru 0.0000 0.5000 0.7500
9 Ru 0.5000 0.0000 0.2500
10 Ru 0.5000 0.0000 0.7500

Output
Its crystal system is tetragonal. The density of states at the Fermi level comes out at 3.24 states/eV/cell. As for the formation enthalpy at 0 K: -94 meV/atom. Its total moment is 0.00 μB per atom.